No. 1
A plane-wave DFT calculation with GGA-PBE was carried out for an optimized crystal structure of DyTlPd4.

## Properties
The energy above the most stable polymorph in this dataset is 68.7 meV per atom. The formation energy is -0.514 eV/atom.

Cell lengths 5.0049, 8.9365, 5.0342 Å; angles 90.00, 103.08, 90.00 degrees
Closest atoms and distances in Å follow each position.
Space group C2/m (No. 12)
One atom of each set of equivalent atoms:
Dy1 0.0000 0.0000 0.0000 x2  10 Pd 2.91-2.98, 2 Tl 3.12
Tl1 0.0000 0.5000 0.5000 x2  10 Pd 2.92-2.96, 2 Dy 3.12
Pd1 0.0000 0.1690 0.5000 x4  7 Pd 2.89-3.12, 3 Tl 2.92-2.96, 2 Dy 2.94
Pd2 0.0000 0.3333 0.0000 x4  7 Pd 2.91-3.12, 3 Dy 2.91-2.98, 2 Tl 2.92


No. 2
A plane-wave DFT calculation with GGA-PBE was carried out for an optimized crystal structure of CdHgRh2.

## Properties
The formation energy is 0.112 eV/atom.

Cell lengths 2.9708, 4.7659, 9.8695 Å; angles 90.00, 90.00, 90.00 degrees
Closest atoms and distances in Å follow each position.
Space group Imm2 (No. 44)
One atom of each set of equivalent atoms:
Cd1 0.0000 0.0000 0.0000 x2  6 Rh 2.82-2.89, 2 Cd 2.97, 2 Hg 3.09
Hg1 0.0000 0.5000 0.7744 x2  6 Rh 2.82-2.90, 2 Hg 2.97, 2 Cd 3.09
Rh1 0.0000 0.0000 0.5270 x2  2 Rh 2.64, 4 Cd 2.82, 2 Hg 2.90
Rh2 0.0000 0.5000 0.2485 x2  2 Rh 2.64, 4 Hg 2.82, 2 Cd 2.89


No. 3
A plane-wave DFT calculation with GGA-PBE was carried out for an optimized crystal structure of CeSmTlI.

## Properties
As for the raw formation energy: -0.429 eV per atom.

Cell lengths 7.7924, 7.7924, 7.7924 Å; angles 90.00, 90.00, 90.00 degrees
Closest atoms and distances in Å follow each position.
Space group F-43m (No. 216)
One atom of each set of equivalent atoms:
Ce1 0.0000 0.0000 0.0000 x4  4 Tl 3.37, 4 I 3.37
Sm1 0.0000 0.0000 0.5000 x4  4 I 3.37, 4 Tl 3.37
Tl1 0.2500 0.2500 0.7500 x4  4 Ce 3.37, 4 Sm 3.37
I1 0.2500 0.2500 0.2500 x4  4 Ce 3.37, 4 Sm 3.37


Q: What is the formula in the third record?
A: CeSmTlI